1.
BeReW2 | PBE-GGA | optimized geometry

As for the crystal system: tetragonal. The calculation puts the formation energy at 260 meV per atom. As for the magnetic moment: 0.00 μB per cell. As for the density of states at the Fermi level: 4.38 states/eV per cell.

The structure belongs to space group P4mm (No. 99); the cell edges are 2.718, 2.718 and 7.616 Å and the angles 90.00°, 90.00° and 90.00°. The asymmetric unit holds Be at (0.000, 0.000, 0.000), Re at (0.500, 0.500, 0.202), W at (0.000, 0.000, 0.482) and W at (0.500, 0.500, 0.780).

---

2.
LaSi2 | PBE-GGA | optimized geometry

As for the crystal system: tetragonal. As for the magnetic moment: 0.00 μB per cell. The value obtained for the energy relative to the elements, uncorrected is -0.670 eV per atom. As for the density of states at the Fermi level: 6.26 states/eV per cell.

The structure belongs to space group I4_1/amd (No. 141, origin choice 2); the cell edges are 4.336, 4.336 and 13.859 Å and the angles 90.00°, 90.00° and 90.00°. The asymmetric unit holds La at (0.000, 0.250, 0.375) and Si at (0.000, 0.250, 0.790).

---

3.
LiAc2NdO5 | PBE-GGA | optimized geometry

As for the crystal system: tetragonal. As for the magnetic moment: 0.00 μB per cell. The value obtained for the energy relative to the elements, uncorrected is -2.935 eV per atom. As for the density of states at the Fermi level: 0.64 states/eV per cell.

The structure belongs to space group P4/mmm (No. 123); the cell edges are 3.767, 3.767 and 9.719 Å and the angles 90.00°, 90.00° and 90.00°. The asymmetric unit holds Li at (0.000, 0.000, 0.000), Ac at (0.500, 0.500, 0.177), Nd at (0.000, 0.000, 0.500), O at (0.000, 0.000, 0.264), O at (0.000, 0.500, 0.000) and O at (0.500, 0.500, 0.500).